Compound: DyTh3Fe2
Source: the Alexandria database
Functional: PBE
Structure: optimized geometry

Cell lengths 12.4458, 6.7278, 7.3928 Å; angles 90.00, 107.15, 90.00 degrees
Closest atoms and distances in Å follow each position.
Space group C2/c (No. 15)
Symmetry-distinct sites (fractional):
Dy 0.0000 0.2400 0.2500 [4 per cell]  4 Fe 2.93-2.96
Th 0.0000 0.2705 0.7500 [4 per cell]  4 Fe 2.80-2.86
Th 0.2233 0.0034 0.6117 [8 per cell]  2 Fe 2.58-2.59
Fe 0.1250 0.4947 0.5637 [8 per cell]  4 Th 2.58-2.86

M_tot (μB/atom): 0.000
Calculated volume (Å³ per atom): 24.65
DFT formation energy (kJ/mol of atoms): -5.5